1.
DFT (PBE-GGA) results for a geometry-optimized Pm4AlOs structure.

POSCAR file:
```
Pm4AlOs
1.0
8.467 0.000 4.888
2.822 7.982 4.888
0.000 0.000 9.776
Pm Al Os
16 4 4
direct
0.401 0.401 0.401
0.796 0.401 0.401
0.401 0.796 0.401
0.401 0.401 0.796
0.554 0.554 0.946
0.946 0.946 0.554
0.554 0.946 0.554
0.946 0.554 0.946
0.946 0.554 0.554
0.554 0.946 0.946
0.191 0.191 0.809
0.809 0.809 0.191
0.191 0.809 0.191
0.809 0.191 0.809
0.809 0.191 0.191
0.191 0.809 0.809
0.175 0.175 0.175
0.475 0.175 0.175
0.175 0.475 0.175
0.175 0.175 0.475
0.612 0.612 0.612
0.164 0.612 0.612
0.612 0.164 0.612
0.612 0.612 0.164
```

Calculated values
ΔE to the lowest computed polymorph   0 meV/atom
Formation energy from the elements   -1.34 eV/f.u.

***

2.
DFT (PBE-GGA) results for a geometry-optimized PmAl6Os structure.

POSCAR file:
```
PmAl6Os
1.0
-2.182 4.910 2.575
-1.932 -0.198 5.632
3.945 2.952 4.608
Pm Al Os
1 6 1
direct
0.500 0.500 0.500
0.911 0.911 0.730
0.447 0.911 0.730
0.089 0.553 0.270
0.553 0.089 0.270
0.089 0.089 0.270
0.911 0.447 0.730
0.000 0.000 0.000
```

Calculated values
Formation energy from the elements   0.19 eV/f.u.

***

3.
DFT (PBE-GGA) results for a geometry-optimized PmAl3Os structure.

POSCAR file:
```
PmAl3Os
1.0
6.512 0.000 0.000
0.000 6.512 0.000
0.000 0.000 6.512
Pm Al Os
3 9 3
direct
0.000 0.500 0.500
0.500 0.000 0.500
0.500 0.500 0.000
0.500 0.500 0.500
0.206 0.206 0.206
0.794 0.794 0.206
0.794 0.206 0.794
0.206 0.794 0.794
0.206 0.206 0.794
0.794 0.794 0.794
0.206 0.794 0.206
0.794 0.206 0.206
0.500 0.000 0.000
0.000 0.500 0.000
0.000 0.000 0.500
```

Calculated values
ΔE to the lowest computed polymorph   0 meV/atom
Formation energy from the elements   -2.53 eV/f.u.

***

4.
DFT (PBE-GGA) results for a geometry-optimized PmAlOs structure.

POSCAR file:
```
PmAlOs
1.0
4.596 0.000 0.000
0.000 7.098 0.000
0.000 0.000 7.449
Pm Al Os
4 4 4
direct
0.250 0.812 0.471
0.750 0.312 0.029
0.250 0.688 0.971
0.750 0.188 0.529
0.750 0.892 0.184
0.750 0.608 0.684
0.250 0.108 0.816
0.250 0.392 0.316
0.750 0.565 0.342
0.750 0.935 0.842
0.250 0.065 0.158
0.250 0.435 0.658
```

Calculated values
ΔE to the lowest computed polymorph   8 meV/atom
Formation energy from the elements   -1.09 eV/f.u.

***

5.
DFT (PBE-GGA) results for a geometry-optimized Pm4AlOs structure.

POSCAR file:
```
Pm4AlOs
1.0
6.183 -0.745 0.000
-2.514 8.666 0.000
-1.835 -3.961 6.673
Pm Al Os
8 2 2
direct
0.105 0.213 0.851
0.766 0.718 0.657
0.245 0.638 0.851
0.391 0.939 0.657
0.609 0.061 0.343
0.755 0.362 0.149
0.234 0.282 0.343
0.895 0.787 0.149
0.374 0.624 0.247
0.626 0.376 0.753
0.249 0.999 0.999
0.751 0.001 0.001
```

Calculated values
ΔE to the lowest computed polymorph   36 meV/atom
Formation energy from the elements   -1.12 eV/f.u.

***

6.
DFT (PBE-GGA) results for a geometry-optimized Pm3Al3Os structure.

POSCAR file:
```
Pm3Al3Os
1.0
-1.764 -2.411 -2.595
3.845 -1.050 -4.657
5.735 -12.899 5.071
Pm Al Os
6 6 2
direct
0.519 0.350 0.612
0.481 0.650 0.388
0.260 0.239 0.242
0.740 0.761 0.758
0.377 0.325 0.920
0.623 0.675 0.080
0.820 0.825 0.535
0.180 0.175 0.465
0.095 0.884 0.926
0.905 0.116 0.074
0.974 0.822 0.230
0.026 0.178 0.770
0.783 0.061 0.374
0.217 0.939 0.626
```

Calculated values
Formation energy from the elements   -2.60 eV/f.u.

***

7.
DFT (PBE-GGA) results for a geometry-optimized Pm2AlOs structure.

POSCAR file:
```
Pm2AlOs
1.0
4.400 0.000 0.000
2.200 3.807 0.017
2.200 1.232 6.279
Pm Al Os
2 1 1
direct
0.895 0.658 0.551
0.710 0.474 0.106
0.136 0.899 0.829
0.469 0.231 0.832
```

Calculated values
ΔE to the lowest computed polymorph   0 meV/atom
Formation energy from the elements   -0.90 eV/f.u.

***

8.
DFT (PBE-GGA) results for a geometry-optimized PmAl3Os structure.

POSCAR file:
```
PmAl3Os
1.0
4.729 0.000 0.000
0.000 4.729 0.000
0.000 0.000 4.729
Os Al Pm
1 3 1
direct
0.000 0.000 0.000
0.000 0.500 0.000
0.000 0.000 0.500
0.500 0.000 0.000
0.500 0.500 0.500
```

Calculated values
ΔE to the lowest computed polymorph   184 meV/atom
Formation energy from the elements   -1.61 eV/f.u.

***

9.
DFT (PBE-GGA) results for a geometry-optimized PmAlOs structure.

POSCAR file:
```
PmAlOs
1.0
-0.377 -1.347 2.975
3.004 1.032 0.848
-3.474 4.903 -0.036
Os Al Pm
1 1 1
direct
0.692 0.692 0.385
0.293 0.293 0.587
0.014 0.014 0.029
```

Calculated values
ΔE to the lowest computed polymorph   152 meV/atom
Formation energy from the elements   -0.65 eV/f.u.

***

10.
DFT (PBE-GGA) results for a geometry-optimized PmAlOs structure.

POSCAR file:
```
PmAlOs
1.0
3.887 0.000 0.000
0.000 4.347 0.000
0.000 -2.173 3.765
Os Al Pm
1 1 1
direct
0.167 0.667 0.333
0.167 0.000 0.000
0.667 0.333 0.667
```

Calculated values
ΔE to the lowest computed polymorph   143 meV/atom
Formation energy from the elements   -0.68 eV/f.u.

***

11.
DFT (PBE-GGA) results for a geometry-optimized PmAl2Os structure.

POSCAR file:
```
PmAl2Os
1.0
-1.362 2.853 -0.148
0.101 -0.116 -3.161
-6.694 -3.200 -0.097
Os Al Pm
1 2 1
direct
0.500 0.500 0.000
0.000 0.000 0.817
0.000 0.000 0.183
0.500 0.500 0.500
```

Calculated values
ΔE to the lowest computed polymorph   45 meV/atom
Formation energy from the elements   -1.43 eV/f.u.

***

12.
DFT (PBE-GGA) results for a geometry-optimized Pm8Al2Os structure.

POSCAR file:
```
Pm8Al2Os
1.0
0.032 0.776 -5.288
-0.381 -6.989 -1.027
-8.181 3.140 3.112
Pm Al Os
8 2 1
direct
0.400 0.583 0.799
0.651 0.931 0.301
0.798 0.731 0.596
0.988 0.222 0.975
0.202 0.269 0.404
0.349 0.069 0.699
0.600 0.417 0.201
0.012 0.778 0.025
0.819 0.308 0.638
0.181 0.692 0.362
0.500 0.000 0.000
```

Calculated values
Formation energy from the elements   -1.67 eV/f.u.